ErZn2Au7 | PBE-GGA | relaxed

CIF file:
```
data_ErZn2Au7
_cell_length_a 4.615
_cell_length_b 7.551
_cell_length_c 7.551
_cell_angle_alpha 120.89
_cell_angle_beta 90.00
_cell_angle_gamma 90.00
_space_group_name_H-M_alt 'P 1'
_space_group_IT_number 1
_space_group_name_Hall 'P 1'
loop_
_atom_site_label
_atom_site_type_symbol
_atom_site_fract_x
_atom_site_fract_y
_atom_site_fract_z
_atom_site_occupancy
Er1 Er 0.000 0.000 0.000 1
Zn1 Zn 0.500 0.701 0.299 1
Zn2 Zn 0.500 0.299 0.701 1
Au1 Au 0.000 0.784 0.216 1
Au2 Au 0.000 0.216 0.784 1
Au3 Au 0.500 0.073 0.299 1
Au4 Au 0.500 0.927 0.701 1
Au5 Au 0.500 0.299 0.073 1
Au6 Au 0.500 0.701 0.927 1
Au7 Au 0.500 0.500 0.500 1
```

- Space group: Cmmm
- Total DFT energy (no corrections): -31.921 eV per cell

---

ErZn9Au2 | PBE-GGA | relaxed

CIF file:
```
data_ErZn9Au2
_cell_length_a 3.106
_cell_length_b 8.731
_cell_length_c 8.731
_cell_angle_alpha 120.00
_cell_angle_beta 90.00
_cell_angle_gamma 90.00
_space_group_name_H-M_alt 'P 1'
_space_group_IT_number 1
_space_group_name_Hall 'P 1'
loop_
_atom_site_label
_atom_site_type_symbol
_atom_site_fract_x
_atom_site_fract_y
_atom_site_fract_z
_atom_site_occupancy
Er1 Er 0.000 0.000 0.000 1
Zn1 Zn 0.500 0.820 0.180 1
Zn2 Zn 0.000 0.000 0.500 1
Zn3 Zn 0.000 0.500 0.500 1
Zn4 Zn 0.500 0.820 0.640 1
Zn5 Zn 0.500 0.180 0.820 1
Zn6 Zn 0.500 0.640 0.820 1
Zn7 Zn 0.500 0.180 0.360 1
Zn8 Zn 0.000 0.500 0.000 1
Zn9 Zn 0.500 0.360 0.180 1
Au1 Au 0.000 0.667 0.333 1
Au2 Au 0.000 0.333 0.667 1
```

- Space group: P6/mmm
- Energy above the lowest structure with this stoichiometry: 81 meV/atom

---

Er4Zn3Au | PBE-GGA | relaxed

CIF file:
```
data_Er4Zn3Au
_cell_length_a 3.559
_cell_length_b 3.559
_cell_length_c 14.061
_cell_angle_alpha 90.00
_cell_angle_beta 90.00
_cell_angle_gamma 90.00
_space_group_name_H-M_alt 'P 1'
_space_group_IT_number 1
_space_group_name_Hall 'P 1'
loop_
_atom_site_label
_atom_site_type_symbol
_atom_site_fract_x
_atom_site_fract_y
_atom_site_fract_z
_atom_site_occupancy
Zn1 Zn 0.500 0.500 0.254 1
Zn2 Zn 0.500 0.500 0.500 1
Zn3 Zn 0.500 0.500 0.746 1
Au1 Au 0.500 0.500 0.000 1
Er1 Er 0.000 0.000 0.874 1
Er2 Er 0.000 0.000 0.126 1
Er3 Er 0.000 0.000 0.376 1
Er4 Er 0.000 0.000 0.624 1
```

- Space group: P4/mmm
- Energy above the lowest structure with this stoichiometry: 0 meV/atom

---

ErZn4Au8 | PBE-GGA | relaxed

CIF file:
```
data_ErZn4Au8
_cell_length_a 5.443
_cell_length_b 7.086
_cell_length_c 7.086
_cell_angle_alpha 81.52
_cell_angle_beta 67.41
_cell_angle_gamma 67.41
_space_group_name_H-M_alt 'P 1'
_space_group_IT_number 1
_space_group_name_Hall 'P 1'
loop_
_atom_site_label
_atom_site_type_symbol
_atom_site_fract_x
_atom_site_fract_y
_atom_site_fract_z
_atom_site_occupancy
Er1 Er 0.000 0.000 0.000 1
Zn1 Zn 0.000 0.000 0.500 1
Zn2 Zn 0.500 0.000 0.500 1
Zn3 Zn 0.000 0.500 0.000 1
Zn4 Zn 0.500 0.500 0.000 1
Au1 Au 0.000 0.328 0.672 1
Au2 Au 0.000 0.672 0.328 1
Au3 Au 0.328 0.672 0.672 1
Au4 Au 0.672 0.328 0.328 1
Au5 Au 0.500 0.783 0.217 1
Au6 Au 0.500 0.217 0.783 1
Au7 Au 0.283 0.217 0.217 1
Au8 Au 0.717 0.783 0.783 1
```

- Space group: I4/mmm
- Energy above the lowest structure with this stoichiometry: 0 meV/atom

---

Er2Zn7Au | PBE-GGA | relaxed

CIF file:
```
data_Er2Zn7Au
_cell_length_a 4.093
_cell_length_b 4.093
_cell_length_c 10.924
_cell_angle_alpha 90.00
_cell_angle_beta 90.00
_cell_angle_gamma 90.00
_space_group_name_H-M_alt 'P 1'
_space_group_IT_number 1
_space_group_name_Hall 'P 1'
loop_
_atom_site_label
_atom_site_type_symbol
_atom_site_fract_x
_atom_site_fract_y
_atom_site_fract_z
_atom_site_occupancy
Er1 Er 0.500 0.000 0.744 1
Er2 Er 0.000 0.500 0.256 1
Zn1 Zn 0.000 0.500 0.854 1
Zn2 Zn 0.500 0.000 0.366 1
Zn3 Zn 0.500 0.000 0.146 1
Zn4 Zn 0.000 0.500 0.634 1
Zn5 Zn 0.000 0.000 0.500 1
Zn6 Zn 0.000 0.000 0.000 1
Zn7 Zn 0.500 0.500 0.500 1
Au1 Au 0.500 0.500 0.000 1
```

- Space group: P-4m2
- Total DFT energy (no corrections): -24.632 eV per cell

---

Er3Zn4Au4 | PBE-GGA | relaxed

CIF file:
```
data_Er3Zn4Au4
_cell_length_a 3.512
_cell_length_b 4.396
_cell_length_c 14.542
_cell_angle_alpha 81.01
_cell_angle_beta 83.05
_cell_angle_gamma 89.89
_space_group_name_H-M_alt 'P 1'
_space_group_IT_number 1
_space_group_name_Hall 'P 1'
loop_
_atom_site_label
_atom_site_type_symbol
_atom_site_fract_x
_atom_site_fract_y
_atom_site_fract_z
_atom_site_occupancy
Er1 Er 0.144 0.644 0.714 1
Er2 Er 0.856 0.356 0.286 1
Er3 Er 0.000 0.000 0.000 1
Zn1 Zn 0.596 0.097 0.810 1
Zn2 Zn 0.260 0.257 0.483 1
Zn3 Zn 0.740 0.743 0.517 1
Zn4 Zn 0.404 0.903 0.190 1
Au1 Au 0.549 0.549 0.902 1
Au2 Au 0.451 0.451 0.098 1
Au3 Au 0.312 0.812 0.372 1
Au4 Au 0.688 0.188 0.628 1
```

- Space group: P-1
- Energy above the lowest structure with this stoichiometry: 0 meV/atom

---

ErZn6Au12 | PBE-GGA | relaxed

CIF file:
```
data_ErZn6Au12
_cell_length_a 7.505
_cell_length_b 7.505
_cell_length_c 7.505
_cell_angle_alpha 106.31
_cell_angle_beta 106.31
_cell_angle_gamma 106.31
_space_group_name_H-M_alt 'P 1'
_space_group_IT_number 1
_space_group_name_Hall 'P 1'
loop_
_atom_site_label
_atom_site_type_symbol
_atom_site_fract_x
_atom_site_fract_y
_atom_site_fract_z
_atom_site_occupancy
Er1 Er 0.000 0.000 0.000 1
Zn1 Zn 0.693 0.291 0.291 1
Zn2 Zn 0.291 0.291 0.693 1
Zn3 Zn 0.291 0.693 0.291 1
Zn4 Zn 0.709 0.709 0.307 1
Zn5 Zn 0.307 0.709 0.709 1
Zn6 Zn 0.709 0.307 0.709 1
Au1 Au 0.881 0.119 0.500 1
Au2 Au 0.883 0.638 0.638 1
Au3 Au 0.638 0.638 0.883 1
Au4 Au 0.362 0.117 0.362 1
Au5 Au 0.362 0.362 0.117 1
Au6 Au 0.117 0.362 0.362 1
Au7 Au 0.119 0.500 0.881 1
Au8 Au 0.500 0.881 0.119 1
Au9 Au 0.119 0.881 0.500 1
Au10 Au 0.881 0.500 0.119 1
Au11 Au 0.500 0.119 0.881 1
Au12 Au 0.638 0.883 0.638 1
```

- Space group: R-3m
- Total DFT energy (no corrections): -55.063 eV per cell

---

ErZn6Au6 | PBE-GGA | relaxed

CIF file:
```
data_ErZn6Au6
_cell_length_a 5.260
_cell_length_b 7.031
_cell_length_c 7.031
_cell_angle_alpha 80.30
_cell_angle_beta 68.03
_cell_angle_gamma 68.03
_space_group_name_H-M_alt 'P 1'
_space_group_IT_number 1
_space_group_name_Hall 'P 1'
loop_
_atom_site_label
_atom_site_type_symbol
_atom_site_fract_x
_atom_site_fract_y
_atom_site_fract_z
_atom_site_occupancy
Er1 Er 0.000 0.000 0.000 1
Zn1 Zn 0.000 0.500 0.000 1
Zn2 Zn 0.500 0.500 0.000 1
Zn3 Zn 0.000 0.000 0.500 1
Zn4 Zn 0.500 0.000 0.500 1
Zn5 Zn 0.500 0.756 0.244 1
Zn6 Zn 0.500 0.244 0.756 1
Au1 Au 0.336 0.664 0.664 1
Au2 Au 0.664 0.336 0.336 1
Au3 Au 0.000 0.333 0.667 1
Au4 Au 0.000 0.667 0.333 1
Au5 Au 0.329 0.171 0.171 1
Au6 Au 0.671 0.829 0.829 1
```

- Space group: Immm
- Total DFT energy (no corrections): -36.493 eV per cell

---

Er4ZnAu7 | PBE-GGA | relaxed

CIF file:
```
data_Er4ZnAu7
_cell_length_a 5.015
_cell_length_b 8.178
_cell_length_c 7.500
_cell_angle_alpha 69.36
_cell_angle_beta 70.47
_cell_angle_gamma 72.14
_space_group_name_H-M_alt 'P 1'
_space_group_IT_number 1
_space_group_name_Hall 'P 1'
loop_
_atom_site_label
_atom_site_type_symbol
_atom_site_fract_x
_atom_site_fract_y
_atom_site_fract_z
_atom_site_occupancy
Er1 Er 0.563 0.256 0.618 1
Er2 Er 0.437 0.744 0.382 1
Er3 Er 0.738 0.743 0.781 1
Er4 Er 0.262 0.257 0.219 1
Zn1 Zn 0.000 0.000 0.000 1
Au1 Au 0.813 0.990 0.384 1
Au2 Au 0.187 0.010 0.616 1
Au3 Au 0.078 0.649 0.195 1
Au4 Au 0.922 0.351 0.805 1
Au5 Au 0.320 0.552 0.808 1
Au6 Au 0.500 0.000 0.000 1
Au7 Au 0.680 0.448 0.192 1
```

- Space group: C2/m
- Total DFT energy (no corrections): -50.546 eV per cell

---

ErZn8Au6 | PBE-GGA | relaxed

CIF file:
```
data_ErZn8Au6
_cell_length_a 7.761
_cell_length_b 7.761
_cell_length_c 7.042
_cell_angle_alpha 56.56
_cell_angle_beta 56.56
_cell_angle_gamma 60.00
_space_group_name_H-M_alt 'P 1'
_space_group_IT_number 1
_space_group_name_Hall 'P 1'
loop_
_atom_site_label
_atom_site_type_symbol
_atom_site_fract_x
_atom_site_fract_y
_atom_site_fract_z
_atom_site_occupancy
Er1 Er 0.000 0.000 0.000 1
Zn1 Zn 0.557 0.202 0.356 1
Zn2 Zn 0.798 0.115 0.644 1
Zn3 Zn 0.115 0.443 0.644 1
Zn4 Zn 0.666 0.666 0.001 1
Zn5 Zn 0.334 0.334 0.999 1
Zn6 Zn 0.885 0.557 0.356 1
Zn7 Zn 0.202 0.885 0.356 1
Zn8 Zn 0.443 0.798 0.644 1
Au1 Au 0.405 0.059 0.829 1
Au2 Au 0.941 0.294 0.171 1
Au3 Au 0.294 0.595 0.171 1
Au4 Au 0.706 0.405 0.829 1
Au5 Au 0.059 0.706 0.829 1
Au6 Au 0.595 0.941 0.171 1
```

- Space group: R-3
- Total DFT energy (no corrections): -38.183 eV per cell

---

Er2ZnAu3 | PBE-GGA | relaxed

CIF file:
```
data_Er2ZnAu3
_cell_length_a 5.741
_cell_length_b 5.741
_cell_length_c 8.684
_cell_angle_alpha 103.02
_cell_angle_beta 103.02
_cell_angle_gamma 108.56
_space_group_name_H-M_alt 'P 1'
_space_group_IT_number 1
_space_group_name_Hall 'P 1'
loop_
_atom_site_label
_atom_site_type_symbol
_atom_site_fract_x
_atom_site_fract_y
_atom_site_fract_z
_atom_site_occupancy
Er1 Er 0.250 0.750 0.500 1
Er2 Er 0.753 0.753 0.000 1
Er3 Er 0.750 0.250 0.500 1
Er4 Er 0.247 0.247 0.000 1
Zn1 Zn 0.667 0.667 0.334 1
Zn2 Zn 0.333 0.333 0.666 1
Au1 Au 0.347 0.826 0.173 1
Au2 Au 0.174 0.653 0.827 1
Au3 Au 0.653 0.174 0.827 1
Au4 Au 0.826 0.347 0.173 1
Au5 Au 0.171 0.171 0.343 1
Au6 Au 0.829 0.829 0.657 1
```

- Space group: Fmmm
- Total DFT energy (no corrections): -49.167 eV per cell

---

Er5Zn2Au | PBE-GGA | relaxed

CIF file:
```
data_Er5Zn2Au
_cell_length_a 7.224
_cell_length_b 7.224
_cell_length_c 9.167
_cell_angle_alpha 113.21
_cell_angle_beta 113.21
_cell_angle_gamma 90.00
_space_group_name_H-M_alt 'P 1'
_space_group_IT_number 1
_space_group_name_Hall 'P 1'
loop_
_atom_site_label
_atom_site_type_symbol
_atom_site_fract_x
_atom_site_fract_y
_atom_site_fract_z
_atom_site_occupancy
Er1 Er 0.519 0.679 0.698 1
Er2 Er 0.821 0.981 0.302 1
Er3 Er 0.000 0.000 0.000 1
Er4 Er 0.500 0.500 0.000 1
Er5 Er 0.179 0.019 0.698 1
Er6 Er 0.679 0.179 0.698 1
Er7 Er 0.019 0.519 0.698 1
Er8 Er 0.321 0.821 0.302 1
Er9 Er 0.981 0.481 0.302 1
Er10 Er 0.481 0.321 0.302 1
Zn1 Zn 0.123 0.377 0.000 1
Zn2 Zn 0.623 0.123 0.000 1
Zn3 Zn 0.377 0.877 0.000 1
Zn4 Zn 0.877 0.623 0.000 1
Au1 Au 0.750 0.750 0.500 1
Au2 Au 0.250 0.250 0.500 1
```

- Space group: I4/mcm
- Total DFT energy (no corrections): -63.453 eV per cell

---

Number 1: DOS at the Fermi energy 0.33 states/eV/atom, total magnetization 0.0000 μB per atom. Number 2: DOS at the Fermi energy 0.22 states/eV/atom, total magnetization 0.0000 μB per atom. Number 3: DOS at the Fermi energy 0.78 states/eV/atom, total magnetization 0.0000 μB per atom. Number 4: DOS at the Fermi energy 0.26 states/eV/atom, total magnetization 0.0000 μB per atom. Number 5: DOS at the Fermi energy 0.34 states/eV/atom, total magnetization 0.0000 μB per atom. Number 6: DOS at the Fermi energy 0.64 states/eV/atom, total magnetization 0.0000 μB per atom. Number 7: DOS at the Fermi energy 0.48 states/eV/atom, total magnetization 0.0000 μB per atom. Number 8: DOS at the Fermi energy 0.29 states/eV/atom, total magnetization 0.0000 μB per atom. Number 9: DOS at the Fermi energy 0.58 states/eV/atom, total magnetization 0.0000 μB per atom. Number 10: DOS at the Fermi energy 0.29 states/eV/atom, total magnetization 0.0000 μB per atom. Number 11: DOS at the Fermi energy 0.60 states/eV/atom, total magnetization 0.0000 μB per atom. Number 12: DOS at the Fermi energy 0.98 states/eV/atom, total magnetization 0.0000 μB per atom.